No. 1
Below is crystalline Cs2DyHgF6 at its relaxed geometry, with properties calculated at the PBE level.

Cell lengths 6.815, 9.635, 6.816 Å; angles 90.00, 90.00, 90.00 degrees
Atoms (fractional coordinates):
1 Cs 0.250 0.000 0.249
2 Cs 0.250 0.500 0.249
3 Cs 0.750 0.000 0.751
4 Cs 0.750 0.500 0.751
5 Dy 0.250 0.250 0.750
6 Dy 0.750 0.750 0.250
7 Hg 0.250 0.750 0.750
8 Hg 0.750 0.250 0.250
9 F 0.023 0.250 0.523
10 F 0.023 0.250 0.976
11 F 0.250 0.023 0.750
12 F 0.250 0.477 0.750
13 F 0.477 0.250 0.523
14 F 0.477 0.250 0.976
15 F 0.523 0.750 0.024
16 F 0.523 0.750 0.477
17 F 0.750 0.523 0.250
18 F 0.750 0.977 0.250
19 F 0.977 0.750 0.024
20 F 0.977 0.750 0.477

Summary:
- Raw formation energy: -2.909 eV/atom

---

No. 2
Below is crystalline Ho4Se3S at its relaxed geometry, with properties calculated at the PBE level.

Cell lengths 5.680, 5.680, 5.680 Å; angles 90.00, 90.00, 90.00 degrees
Atoms (fractional coordinates):
1 Ho 0.000 0.000 0.000
2 Ho 0.000 0.500 0.500
3 Ho 0.500 0.000 0.500
4 Ho 0.500 0.500 0.000
5 Se 0.000 0.000 0.500
6 Se 0.000 0.500 0.000
7 Se 0.500 0.000 0.000
8 S 0.500 0.500 0.500

Summary:
- E above lowest polymorph: 35.9 meV per atom
- Raw formation energy: -1.754 eV/atom

---

No. 3
Below is crystalline NaAcInSe3 at its relaxed geometry, with properties calculated at the PBE level.

Cell lengths 8.406, 4.811, 10.784 Å; angles 90.00, 100.10, 90.00 degrees
Atoms (fractional coordinates):
1 Na 0.162 0.250 0.137
2 Na 0.838 0.750 0.863
3 Ac 0.341 0.750 0.847
4 Ac 0.659 0.250 0.153
5 In 0.102 0.250 0.594
6 In 0.898 0.750 0.406
7 Se 0.087 0.250 0.849
8 Se 0.226 0.750 0.544
9 Se 0.417 0.750 0.137
10 Se 0.583 0.250 0.863
11 Se 0.774 0.250 0.456
12 Se 0.913 0.750 0.151

Summary:
- Raw formation energy: -1.151 eV/atom

---

No. 4
Below is crystalline Ba2NaLiHg6 at its relaxed geometry, with properties calculated at the PBE level.

Cell lengths 6.351, 7.364, 8.174 Å; angles 86.45, 68.07, 64.69 degrees
Atoms (fractional coordinates):
1 Ba 0.067 0.205 0.210
2 Ba 0.933 0.795 0.790
3 Na 0.500 0.500 0.000
4 Li 0.500 0.000 0.500
5 Hg 0.004 0.759 0.328
6 Hg 0.407 0.381 0.390
7 Hg 0.422 0.251 0.774
8 Hg 0.578 0.749 0.226
9 Hg 0.593 0.619 0.610
10 Hg 0.996 0.241 0.672

Summary:
- DFT formation energy: -324 meV per atom

---

Which formula does entry 2 have? Ho4Se3S